# 1
First-principles (GGA-PBE) data for a geometry-optimized SrNdW structure, as listed in OQMD.

Output
As for the total DFT energy (no corrections): -5.147 eV per atom.

Unit cell a=5.2139 b=5.2139 c=5.2139 alpha=60.00 beta=60.00 gamma=60.00
With the nearest neighbours (Å) after each atom.
Sites, in units of the cell vectors:
Sr 0.7500 0.7500 0.7500  4 W 3.19
Nd 0.2500 0.2500 0.2500  4 W 3.19
W 0.0000 0.0000 0.0000  4 Sr 3.19, 4 Nd 3.19


# 2
First-principles (GGA-PBE) data for a geometry-optimized SrNdZn structure, as listed in OQMD.

Output
The value obtained for the energy above the most stable polymorph in this dataset is 0 meV/atom.

Unit cell a=5.2682 b=5.2682 c=5.2682 alpha=60.00 beta=60.00 gamma=60.00
With the nearest neighbours (Å) after each atom.
Sites, in units of the cell vectors:
Nd 0.2500 0.2500 0.2500  4 Zn 3.23
Sr 0.7500 0.7500 0.7500  4 Zn 3.23
Zn 0.0000 0.0000 0.0000  4 Nd 3.23, 4 Sr 3.23


# 3
First-principles (GGA-PBE) data for a geometry-optimized NdTa structure, as listed in OQMD.

Output
For the formation energy, the calculation gives 1.35 eV per formula unit. The value obtained for the energy above the most stable polymorph in this dataset is 0 meV/atom.

Unit cell a=3.1752 b=3.1752 c=5.5308 alpha=90.00 beta=90.00 gamma=120.00
With the nearest neighbours (Å) after each atom.
Sites, in units of the cell vectors:
Ta 0.3333 0.6667 0.2500  6 Ta 3.18, 6 Nd 3.32
Nd 0.6667 0.3333 0.7500  6 Nd 3.18, 6 Ta 3.32


# 4
First-principles (GGA-PBE) data for a geometry-optimized NdTa structure, as listed in OQMD.

Output
For the formation energy, the calculation gives 5.31 eV per formula unit. The value obtained for the energy above the most stable polymorph in this dataset is 1979 meV/atom.

Unit cell a=4.5938 b=4.5938 c=4.5938 alpha=60.00 beta=60.00 gamma=60.00
With the nearest neighbours (Å) after each atom.
Sites, in units of the cell vectors:
Nd 0.0000 0.0000 0.0000  4 Ta 2.81
Ta 0.2500 0.2500 0.2500  4 Nd 2.81


# 5
First-principles (GGA-PBE) data for a geometry-optimized NdTa structure, as listed in OQMD.

Output
For the formation energy, the calculation gives 3.11 eV per formula unit. The value obtained for the energy above the most stable polymorph in this dataset is 878 meV/atom.

Unit cell a=4.2631 b=4.2631 c=4.2631 alpha=60.00 beta=60.00 gamma=60.00
With the nearest neighbours (Å) after each atom.
Sites, in units of the cell vectors:
Nd 0.0000 0.0000 0.0000  6 Ta 3.01
Ta 0.5000 0.5000 0.5000  6 Nd 3.01


# 6
First-principles (GGA-PBE) data for a geometry-optimized TbNdTa structure, as listed in OQMD.

Output
For the formation energy, the calculation gives 4.01 eV per formula unit.

Unit cell a=5.0257 b=5.0257 c=5.0257 alpha=60.00 beta=60.00 gamma=60.00
With the nearest neighbours (Å) after each atom.
Sites, in units of the cell vectors:
Ta 0.2500 0.2500 0.2500  4 Nd 3.08
Nd 0.0000 0.0000 0.0000  4 Tb 3.08, 4 Ta 3.08
Tb 0.7500 0.7500 0.7500  4 Nd 3.08